Record 1
# Li2MgIn5 PBE relaxed
data_Li2MgIn5
_symmetry_space_group_name_H-M 'P 1'
_symmetry_Int_Tables_number 1
_cell_length_a 6.4489
_cell_length_b 6.4489
_cell_length_c 6.2886
_cell_angle_alpha 120.68
_cell_angle_beta 120.68
_cell_angle_gamma 89.05
loop_
_symmetry_equiv_pos_as_xyz
'x,y,z'
loop_
_atom_site_label
_atom_site_type_symbol
_atom_site_fract_x
_atom_site_fract_y
_atom_site_fract_z
Li1 Li 0.2224 0.7221 0.4441
Li2 Li 0.7221 0.2225 0.4441
Mg1 Mg 0.2229 0.2229 0.4454
In1 In 0.7223 0.2220 0.9441
In2 In 0.2213 0.2213 0.9430
In3 In 0.7228 0.7228 0.9455
In4 In 0.2220 0.7224 0.9442
In5 In 0.7211 0.7211 0.4437
# VASP energy (eV per atom): -2.54
# DFT formation energy (eV per atom): -0.1513
# V (A^3/atom): 22.83

Record 2
# SrPrPb2 PBE relaxed
data_SrPrPb2
_symmetry_space_group_name_H-M 'P 1'
_symmetry_Int_Tables_number 1
_cell_length_a 4.5526
_cell_length_b 6.5650
_cell_length_c 9.1833
_cell_angle_alpha 90.00
_cell_angle_beta 90.00
_cell_angle_gamma 90.00
loop_
_symmetry_equiv_pos_as_xyz
'x,y,z'
loop_
_atom_site_label
_atom_site_type_symbol
_atom_site_fract_x
_atom_site_fract_y
_atom_site_fract_z
Sr1 Sr 0.5000 0.3783 0.3136
Sr2 Sr 0.5000 0.6217 0.8136
Pr1 Pr 0.0000 0.1323 0.6876
Pr2 Pr 0.0000 0.8677 0.1876
Pb1 Pb 0.0000 0.6070 0.5372
Pb2 Pb 0.0000 0.3930 0.0372
Pb3 Pb 0.5000 0.9207 0.4616
Pb4 Pb 0.5000 0.0793 0.9616
# VASP energy (eV per atom): -3.97
# DFT formation energy (eV per atom): -0.5002
# V (A^3/atom): 34.31